# 1
Compound: Na5YC4O12
Source: Alexandria
Functional: PBE
Structure: optimized geometry

```
data_Na5YC4O12
_chemical_formula_sum 'Na20 Y4 C16 O48'
_cell_length_a 12.3626
_cell_length_b 10.2173
_cell_length_c 8.8789
_cell_angle_alpha 90.00
_cell_angle_beta 90.13
_cell_angle_gamma 90.00
_space_group_name_H-M_alt 'P 1 21/c 1'
_space_group_IT_number 14
loop_
_space_group_symop_operation_xyz
'x,y,z'
'-x,-y,-z'
'-x,y+1/2,-z+1/2'
'x,-y+1/2,z+1/2'
loop_
_atom_site_label
_atom_site_type_symbol
_atom_site_fract_x
_atom_site_fract_y
_atom_site_fract_z
Na1 Na 0.0739 0.1258 0.0460
Na2 Na 0.1068 0.6268 0.0850
Na3 Na 0.2107 0.1268 0.6926
Na4 Na 0.3650 0.1774 0.0093
Na5 Na 0.4021 0.5795 0.0784
Y1 Y 0.2775 0.6241 0.7159
C1 C 0.0139 0.6095 0.7566
C2 C 0.2180 0.1184 0.3558
C3 C 0.2797 0.6342 0.3900
C4 C 0.4954 0.1359 0.7358
O1 O 0.0130 0.1628 0.6177
O2 O 0.0420 0.0135 0.7996
O3 O 0.0972 0.6541 0.6790
O4 O 0.2054 0.2312 0.4159
O5 O 0.2234 0.0109 0.4356
O6 O 0.2284 0.1045 0.2096
O7 O 0.2694 0.6318 0.2453
O8 O 0.2722 0.7475 0.4583
O9 O 0.2971 0.5310 0.4698
O10 O 0.3992 0.1531 0.6869
O11 O 0.4412 0.5467 0.8255
O12 O 0.4630 0.7031 0.6532
```

## Properties
VASP energy: -6.8955 eV/atom
total magnetic moment: 0.01 μB/f.u.
formation energy without anion corrections: -44.3 kcal/mol of atoms
Fermi-level density of states: 0.00 states/eV/f.u.



# 2
Compound: CaTcO2F
Source: Alexandria
Functional: PBE
Structure: optimized geometry

```
data_CaTcO2F
_chemical_formula_sum 'Ca1 Tc1 O2 F1'
_cell_length_a 4.3706
_cell_length_b 4.3706
_cell_length_c 4.1652
_cell_angle_alpha 90.00
_cell_angle_beta 90.00
_cell_angle_gamma 90.00
_space_group_name_H-M_alt 'P 4/m m m'
_space_group_IT_number 123
_space_group_name_Hall '-P 4 2'
loop_
_atom_site_label
_atom_site_type_symbol
_atom_site_fract_x
_atom_site_fract_y
_atom_site_fract_z
Ca1 Ca 0.0000 0.0000 0.0000
Tc1 Tc 0.5000 0.5000 0.5000
O1 O 0.0000 0.5000 0.0000
F1 F 0.0000 0.0000 0.5000
```

## Properties
VASP energy: -5.5749 eV/atom
total magnetic moment: 3.99 μB/f.u.
formation energy without anion corrections: -17.2 kcal/mol of atoms
Fermi-level density of states: 2.41 states/eV/f.u.



# 3
Compound: KTlCdBr4
Source: Alexandria
Functional: PBE
Structure: optimized geometry

```
data_KTlCdBr4
_chemical_formula_sum 'K2 Tl2 Cd2 Br8'
_cell_length_a 7.8306
_cell_length_b 7.7286
_cell_length_c 9.1161
_cell_angle_alpha 90.00
_cell_angle_beta 107.68
_cell_angle_gamma 90.00
_space_group_name_H-M_alt 'P 1 21/m 1'
_space_group_IT_number 11
loop_
_space_group_symop_operation_xyz
'x,y,z'
'-x,-y,-z'
'-x,y+1/2,-z'
'x,-y+1/2,z'
loop_
_atom_site_label
_atom_site_type_symbol
_atom_site_fract_x
_atom_site_fract_y
_atom_site_fract_z
K1 K 0.2217 0.2500 0.0609
Tl1 Tl 0.2458 0.2500 0.5602
Cd1 Cd 0.2440 0.7500 0.8053
Br1 Br 0.0068 0.0059 0.7471
Br2 Br 0.4367 0.7500 0.6169
Br3 Br 0.4408 0.7500 0.0947
```

## Properties
VASP energy: -2.6907 eV/atom
total magnetic moment: 0.00 μB/f.u.
formation energy without anion corrections: -25.6 kcal/mol of atoms
Fermi-level density of states: 0.00 states/eV/f.u.



# 4
Compound: LaAlTeN2
Source: Alexandria
Functional: PBE
Structure: optimized geometry

```
data_LaAlTeN2
_chemical_formula_sum 'La1 Al1 Te1 N2'
_cell_length_a 4.2643
_cell_length_b 4.2643
_cell_length_c 6.8554
_cell_angle_alpha 90.00
_cell_angle_beta 90.00
_cell_angle_gamma 90.00
_space_group_name_H-M_alt 'P 4/m m m'
_space_group_IT_number 123
_space_group_name_Hall '-P 4 2'
loop_
_atom_site_label
_atom_site_type_symbol
_atom_site_fract_x
_atom_site_fract_y
_atom_site_fract_z
La1 La 0.0000 0.0000 0.0000
Al1 Al 0.5000 0.5000 0.5000
Te1 Te 0.0000 0.0000 0.5000
N1 N 0.0000 0.5000 0.0000
```

## Properties
VASP energy: -5.0314 eV/atom
total magnetic moment: 0.34 μB/f.u.
formation energy without anion corrections: 15.2 kcal/mol of atoms
Fermi-level density of states: 2.34 states/eV/f.u.



# 5
Compound: NbInBr2
Source: Alexandria
Functional: PBE
Structure: optimized geometry

```
data_NbInBr2
_chemical_formula_sum 'Nb4 In4 Br8'
_cell_length_a 7.1072
_cell_length_b 7.1072
_cell_length_c 7.1072
_cell_angle_alpha 90.00
_cell_angle_beta 90.00
_cell_angle_gamma 90.00
_space_group_name_H-M_alt 'F m -3 m'
_space_group_IT_number 225
_space_group_name_Hall '-F 4 2 3'
loop_
_atom_site_label
_atom_site_type_symbol
_atom_site_fract_x
_atom_site_fract_y
_atom_site_fract_z
Nb1 Nb 0.0000 0.0000 0.0000
In1 In 0.0000 0.0000 0.5000
Br1 Br 0.2500 0.2500 0.2500
```

## Properties
VASP energy: -3.6737 eV/atom
total magnetic moment: 0.00 μB/f.u.
formation energy without anion corrections: 8.4 kcal/mol of atoms
Fermi-level density of states: 3.79 states/eV/f.u.



# 6
Compound: Pr5IrRh2
Source: Alexandria
Functional: PBE
Structure: optimized geometry

```
data_Pr5IrRh2
_chemical_formula_sum 'Pr20 Ir4 Rh8'
_cell_length_a 7.5969
_cell_length_b 7.5969
_cell_length_c 14.5263
_cell_angle_alpha 90.00
_cell_angle_beta 90.00
_cell_angle_gamma 90.00
_space_group_name_H-M_alt 'I 4/m c m'
_space_group_IT_number 140
_space_group_name_Hall '-I 4 2c'
loop_
_atom_site_label
_atom_site_type_symbol
_atom_site_fract_x
_atom_site_fract_y
_atom_site_fract_z
Pr1 Pr 0.0000 0.0000 0.0000
Pr2 Pr 0.1746 0.3254 0.1440
Ir1 Ir 0.0000 0.0000 0.2500
Rh1 Rh 0.1288 0.3712 0.5000
```

## Properties
VASP energy: -6.4639 eV/atom
total magnetic moment: 0.00 μB/f.u.
formation enthalpy at 0 K: -0.53 eV per atom
Fermi-level density of states: 6.25 states/eV/f.u.



# 7
Compound: Nd6PdS5
Source: Alexandria
Functional: PBE
Structure: optimized geometry

```
data_Nd6PdS5
_chemical_formula_sum 'Nd12 Pd2 S10'
_cell_length_a 7.1036
_cell_length_b 12.2752
_cell_length_c 7.0970
_cell_angle_alpha 90.00
_cell_angle_beta 109.50
_cell_angle_gamma 90.00
_space_group_name_H-M_alt 'C 1 2/m 1'
_space_group_IT_number 12
loop_
_space_group_symop_operation_xyz
'x,y,z'
'-x,-y,-z'
'-x,y,-z'
'x,-y,z'
'x+1/2,y+1/2,z'
'-x+1/2,-y+1/2,-z'
'-x+1/2,y+1/2,-z'
'x+1/2,-y+1/2,z'
loop_
_atom_site_label
_atom_site_type_symbol
_atom_site_fract_x
_atom_site_fract_y
_atom_site_fract_z
Nd1 Nd 0.2447 0.0000 0.2550
Nd2 Nd 0.2466 0.1704 0.7476
Pd1 Pd 0.0000 0.5000 0.0000
S1 S 0.0000 0.0000 0.5000
S2 S 0.0000 0.1660 0.0000
S3 S 0.0000 0.3333 0.5000
```

## Properties
VASP energy: -6.3474 eV/atom
total magnetic moment: 0.00 μB/f.u.
formation energy without anion corrections: -41.8 kcal/mol of atoms
Fermi-level density of states: 4.38 states/eV/f.u.



# 8
Compound: La2FeRuC
Source: Alexandria
Functional: PBE
Structure: optimized geometry

```
data_La2FeRuC
_chemical_formula_sum 'La2 Fe1 Ru1 C1'
_cell_length_a 5.2603
_cell_length_b 5.2603
_cell_length_c 3.6322
_cell_angle_alpha 90.00
_cell_angle_beta 90.00
_cell_angle_gamma 90.00
_space_group_name_H-M_alt 'P 4/m m m'
_space_group_IT_number 123
_space_group_name_Hall '-P 4 2'
loop_
_atom_site_label
_atom_site_type_symbol
_atom_site_fract_x
_atom_site_fract_y
_atom_site_fract_z
La1 La 0.0000 0.5000 0.0000
Fe1 Fe 0.0000 0.0000 0.5000
Ru1 Ru 0.5000 0.5000 0.5000
C1 C 0.0000 0.0000 0.0000
```

## Properties
VASP energy: -7.3203 eV/atom
total magnetic moment: 0.95 μB/f.u.
formation enthalpy at 0 K: 0.04 eV per atom
Fermi-level density of states: 5.41 states/eV/f.u.



- Number 5 is which compound?
  NbInBr2



- Number 7 is which compound?
  Nd6PdS5